Entry 1:
# SbP2Se

A geometry-optimized SbP2Se structure (PBE, Alexandria).

Lattice parameters (Å, degrees): 6.8045 6.8045 6.3894 57.83 57.83 90.00
Positions (direct):
Sb  0.0000  0.0000  0.0000
Sb  0.7500  0.2500  0.5000
Se  0.5000  0.5000  0.0000
Se  0.2500  0.7500  0.5000
P  0.6165  0.1250  0.2500
P  0.1335  0.6250  0.2500
P  0.3750  0.3835  0.7500
P  0.8750  0.8665  0.7500

Computed properties:
Formation energy (no corrections): 0.44 eV per atom
DFT total energy: -4.165 eV per atom
DOS at the Fermi energy: 0.617 states/eV per atom
Energy above the lowest structure with this stoichiometry: 307 meV/atom

Entry 2:
# Sb2PSe

A geometry-optimized Sb2PSe structure (PBE, Alexandria).

Lattice parameters (Å, degrees): 8.3034 8.3034 8.3034 26.82 26.82 26.82
Positions (direct):
Sb  0.9807  0.9807  0.9807
Sb  0.7632  0.7632  0.7632
P  0.2539  0.2539  0.2539
Se  0.5022  0.5022  0.5022

Computed properties:
Formation energy (no corrections): 0.12 eV per atom
DFT total energy: -4.161 eV per atom
DOS at the Fermi energy: 0.557 states/eV per atom
Energy above the lowest structure with this stoichiometry: 102 meV/atom

Entry 3:
# Sb2P3Se9

A geometry-optimized Sb2P3Se9 structure (PBE, Alexandria).

Lattice parameters (Å, degrees): 7.7033 9.5237 21.9022 89.77 90.00 90.00
Positions (direct):
Sb  0.2165  0.2456  0.1458
Sb  0.7165  0.2544  0.3542
Sb  0.7835  0.7544  0.8542
Sb  0.2835  0.7456  0.6458
Sb  0.0938  0.2121  0.8465
Sb  0.5938  0.2879  0.6535
Sb  0.9062  0.7879  0.1535
Sb  0.4062  0.7121  0.3465
P  0.0471  0.5291  0.0479
P  0.5471  0.9709  0.4521
P  0.9529  0.4709  0.9521
P  0.4529  0.0291  0.5479
P  0.9376  0.5671  0.3545
P  0.4376  0.9329  0.1455
P  0.0624  0.4329  0.6455
P  0.5624  0.0671  0.8545
P  0.8462  0.5666  0.6849
P  0.3462  0.9334  0.8151
P  0.1538  0.4334  0.3151
P  0.6538  0.0666  0.1849
Se  0.2535  0.5396  0.2337
Se  0.9649  0.7783  0.7020
Se  0.5351  0.2783  0.2020
Se  0.0351  0.2217  0.2980
Se  0.1487  0.9448  0.8905
Se  0.6487  0.5552  0.6095
Se  0.8513  0.0552  0.1095
Se  0.3513  0.4448  0.3905
Se  0.7665  0.0664  0.7851
Se  0.2665  0.4336  0.7149
Se  0.2335  0.9336  0.2149
Se  0.4649  0.7217  0.7980
Se  0.4379  0.2695  0.8791
Se  0.9379  0.2305  0.6209
Se  0.5621  0.7305  0.1209
Se  0.0621  0.7695  0.3791
Se  0.6459  0.9351  0.9346
Se  0.1459  0.5649  0.5654
Se  0.3541  0.0649  0.0654
Se  0.8541  0.4351  0.4346
Se  0.4243  0.2628  0.5439
Se  0.9243  0.2372  0.9561
Se  0.5757  0.7372  0.4561
Se  0.0757  0.7628  0.0439
Se  0.6389  0.9598  0.6163
Se  0.1389  0.5402  0.8837
Se  0.3611  0.0402  0.3837
Se  0.8611  0.4598  0.1163
Se  0.1931  0.9241  0.5542
Se  0.6931  0.5759  0.9458
Se  0.8069  0.0759  0.4458
Se  0.3069  0.4241  0.0542
Se  0.7465  0.4604  0.7663
Se  0.2465  0.0396  0.7337
Se  0.7335  0.5664  0.2851
Se  0.7535  0.9604  0.2663

Computed properties:
Formation energy (no corrections): -0.14 eV per atom
DFT total energy: -4.127 eV per atom

Entry 4:
# SbP2Se

A geometry-optimized SbP2Se structure (PBE, Alexandria).

Lattice parameters (Å, degrees): 6.7507 6.7507 6.7507 33.21 33.21 33.21
Positions (direct):
P  0.0008  0.0008  0.0008
P  0.4992  0.4992  0.4992
Sb  0.2500  0.2500  0.2500
Se  0.7500  0.7500  0.7500

Computed properties:
Formation energy (no corrections): 0.25 eV per atom
DFT total energy: -4.358 eV per atom
DOS at the Fermi energy: 0.584 states/eV per atom
Energy above the lowest structure with this stoichiometry: 114 meV/atom